Record 1
## ReAg2F2 (PBE)

Data for crystalline ReAg2F2 at its relaxed geometry.

a b c (Å): 7.5276 7.5276 2.6449
angles (deg): 90.00 90.00 90.00
Site moments in Bohr magnetons follow the coordinates.
Positions (direct):
Re  0.0000  0.0000  0.0000  1.83
Re  0.5000  0.5000  0.0000  1.83
Ag  0.3485  0.8485  0.0000  0.09
Ag  0.8485  0.6515  0.0000  0.10
Ag  0.6515  0.1515  0.0000  0.09
Ag  0.1515  0.3485  0.0000  0.10
F  0.1350  0.6350  0.5000  0.06
F  0.6350  0.8650  0.5000  0.07
F  0.8650  0.3650  0.5000  0.06
F  0.3650  0.1350  0.5000  0.07

Raw formation energy: 0.220 eV per atom
Relative energy among the computed polymorphs: 52 meV per atom
SG: No. 127

Record 2
## ReAg6F12 (PBE)

Data for crystalline ReAg6F12 at its relaxed geometry.

a b c (Å): 6.9113 6.9113 6.9113
angles (deg): 97.60 97.60 97.60
Site moments in Bohr magnetons follow the coordinates.
Positions (direct):
Re  0.0000  0.0000  0.0000  -1.55
Ag  0.6671  0.8525  0.3964  0.12
Ag  0.6036  0.3329  0.1475  0.12
Ag  0.1475  0.6036  0.3329  0.12
Ag  0.3329  0.1475  0.6036  0.12
Ag  0.3964  0.6671  0.8525  0.12
Ag  0.8525  0.3964  0.6671  0.12
F  0.8350  0.5968  0.3961  0.04
F  0.3961  0.8350  0.5968  0.04
F  0.5968  0.3961  0.8350  0.04
F  0.1650  0.4032  0.6039  0.04
F  0.6039  0.1650  0.4032  0.04
F  0.4032  0.6039  0.1650  0.04
F  0.0583  0.9786  0.2755  -0.04
F  0.0214  0.7245  0.9417  -0.04
F  0.7245  0.9417  0.0214  -0.04
F  0.9417  0.0214  0.7245  -0.04
F  0.9786  0.2755  0.0583  -0.04
F  0.2755  0.0583  0.9786  -0.04

Raw formation energy: -1.382 eV per atom
SG: No. 148

Record 3
## ReAg2F8 (PBE)

Data for crystalline ReAg2F8 at its relaxed geometry.

a b c (Å): 4.4814 6.6160 6.6160
angles (deg): 75.79 88.00 88.00
Site moments in Bohr magnetons follow the coordinates.
Positions (direct):
Re  0.0000  0.0000  0.0000  1.22
Ag  0.2370  0.6212  0.6212  -0.18
Ag  0.7630  0.3788  0.3788  -0.18
F  0.2213  0.9144  0.2458  0.04
F  0.2213  0.2458  0.9144  0.04
F  0.7787  0.0856  0.7542  0.04
F  0.2601  0.3956  0.3956  -0.09
F  0.7787  0.7542  0.0856  0.04
F  0.2661  0.8510  0.8510  0.04
F  0.7339  0.1490  0.1490  0.04
F  0.7399  0.6044  0.6044  -0.09

Raw formation energy: -1.670 eV per atom
SG: No. 12

Question: What is the formula in the first record?
Answer: ReAg2F2

Please write out number 2 again, unchanged.
## ReAg6F12 (PBE)

Data for crystalline ReAg6F12 at its relaxed geometry.

a b c (Å): 6.9113 6.9113 6.9113
angles (deg): 97.60 97.60 97.60
Site moments in Bohr magnetons follow the coordinates.
Positions (direct):
Re  0.0000  0.0000  0.0000  -1.55
Ag  0.6671  0.8525  0.3964  0.12
Ag  0.6036  0.3329  0.1475  0.12
Ag  0.1475  0.6036  0.3329  0.12
Ag  0.3329  0.1475  0.6036  0.12
Ag  0.3964  0.6671  0.8525  0.12
Ag  0.8525  0.3964  0.6671  0.12
F  0.8350  0.5968  0.3961  0.04
F  0.3961  0.8350  0.5968  0.04
F  0.5968  0.3961  0.8350  0.04
F  0.1650  0.4032  0.6039  0.04
F  0.6039  0.1650  0.4032  0.04
F  0.4032  0.6039  0.1650  0.04
F  0.0583  0.9786  0.2755  -0.04
F  0.0214  0.7245  0.9417  -0.04
F  0.7245  0.9417  0.0214  -0.04
F  0.9417  0.0214  0.7245  -0.04
F  0.9786  0.2755  0.0583  -0.04
F  0.2755  0.0583  0.9786  -0.04

Raw formation energy: -1.382 eV per atom
SG: No. 148

Question: Look up the raw formation energy of the third one.
Answer: -1.670 eV per atom